No. 1
Si3TcPd | Alexandria | PBE | optimized geometry; D(E_F) = 5.1 states/eV/cell; final energy = -5.906 eV per atom; SG = Pm-3m (221)
1.0
4.6054 0.0000 0.0000
0.0000 4.6054 0.0000
0.0000 0.0000 4.6054
Si Tc Pd
3 1 1
Cartesian
0.0000 0.0000 2.3027
0.0000 2.3027 0.0000
2.3027 0.0000 0.0000
0.0000 0.0000 0.0000
2.3027 2.3027 2.3027

No. 2
SiTc2Pd2 | Alexandria | PBE | optimized geometry; D(E_F) = 6.9 states/eV/cell; final energy = -7.013 eV per atom; SG = I4/mmm (139)
1.0
3.3965 0.0000 0.0000
0.0000 3.3965 0.0000
0.0000 0.0000 14.2072
Si Tc Pd
2 4 4
Cartesian
0.0000 0.0000 0.0000
1.6982 1.6982 7.1036
0.0000 1.6982 3.5518
0.0000 1.6982 10.6554
1.6982 0.0000 3.5518
1.6982 0.0000 10.6554
0.0000 0.0000 5.7812
0.0000 0.0000 8.4259
1.6982 1.6982 1.3223
1.6982 1.6982 12.8848

No. 3
Si2TcPd | Alexandria | PBE | optimized geometry; D(E_F) = 1.5 states/eV/cell; final energy = -7.020 eV per atom; SG = P4/mmm (123)
1.0
3.0536 0.0000 0.0000
0.0000 3.0536 0.0000
0.0000 0.0000 5.8456
Si Tc Pd
2 1 1
Cartesian
0.0000 0.0000 1.3472
0.0000 0.0000 4.4983
1.5268 1.5268 0.0000
1.5268 1.5268 2.9228

No. 4
Si2TcPd | Alexandria | PBE | optimized geometry; D(E_F) = 11.6 states/eV/cell; final energy = -6.306 eV per atom; SG = I-42d (122)
1.0
5.6679 0.0000 0.0000
0.0000 5.6679 0.0000
0.0000 0.0000 9.7861
Si Tc Pd
8 4 4
Cartesian
1.3944 1.4170 1.2233
1.4170 4.2284 3.6698
1.4170 4.2735 8.5628
1.4395 1.4170 6.1163
4.2284 4.2509 6.1163
4.2509 1.3944 8.5628
4.2509 1.4395 3.6698
4.2735 4.2509 1.2233
0.0000 0.0000 0.0000
0.0000 2.8339 2.4465
2.8339 0.0000 7.3396
2.8339 2.8339 4.8931
0.0000 0.0000 4.8931
0.0000 2.8339 7.3396
2.8339 0.0000 2.4465
2.8339 2.8339 0.0000

No. 5
SiTc2Pd | Alexandria | PBE | optimized geometry; D(E_F) = 3.8 states/eV/cell; final energy = -7.590 eV per atom; SG = I-42d (122)
1.0
7.0592 0.0000 0.0000
0.0000 7.0592 0.0000
0.0000 0.0000 4.9648
Si Tc Pd
4 8 4
Cartesian
0.0000 0.0000 0.0000
0.0000 3.5296 1.2412
3.5296 0.0000 3.7236
3.5296 3.5296 2.4824
1.4581 1.7648 0.6206
1.7648 4.9877 1.8618
1.7648 5.6010 4.3442
2.0714 1.7648 3.1030
4.9877 5.2944 3.1030
5.2944 1.4581 4.3442
5.2944 2.0714 1.8618
5.6010 5.2944 0.6206
0.0000 0.0000 2.4824
0.0000 3.5296 3.7236
3.5296 0.0000 1.2412
3.5296 3.5296 0.0000

No. 6
SiTc2Pd2 | Alexandria | PBE | optimized geometry; D(E_F) = 5.7 states/eV/cell; final energy = -7.062 eV per atom; SG = P4/mbm (127)
1.0
6.0681 0.0000 0.0000
0.0000 6.0681 0.0000
0.0000 0.0000 4.2527
Si Tc Pd
2 4 4
Cartesian
0.0000 0.0000 0.0000
3.0341 3.0341 0.0000
0.8523 2.1817 2.1264
2.1817 5.2158 2.1264
3.8864 0.8523 2.1264
5.2158 3.8864 2.1264
0.9421 3.9761 0.0000
2.0920 0.9421 0.0000
3.9761 5.1260 0.0000
5.1260 2.0920 0.0000

No. 7
Si2Tc2Pd | Alexandria | PBE | optimized geometry; D(E_F) = 10.4 states/eV/cell; final energy = -7.685 eV per atom; SG = P4/mbm (127)
1.0
6.7298 0.0000 0.0000
0.0000 6.7298 0.0000
0.0000 0.0000 3.0770
Si Tc Pd
4 4 2
Cartesian
0.9336 2.4313 0.0000
2.4313 5.7962 0.0000
4.2985 0.9336 0.0000
5.7962 4.2985 0.0000
1.0511 4.4160 1.5385
2.3138 1.0511 1.5385
4.4160 5.6787 1.5385
5.6787 2.3138 1.5385
0.0000 0.0000 0.0000
3.3649 3.3649 0.0000

No. 8
TiSiTcPd2 | Alexandria | PBE | optimized geometry; D(E_F) = 6.2 states/eV/cell; final energy = -6.254 eV per atom; SG = P4/mmm (123)
1.0
4.3553 0.0000 0.0000
0.0000 4.3553 0.0000
0.0000 0.0000 4.6479
Ti Si Tc Pd
1 1 1 2
Cartesian
0.0000 0.0000 0.0000
0.0000 0.0000 2.3239
2.1777 2.1777 0.0000
0.0000 2.1777 2.3239
2.1777 0.0000 2.3239

No. 9
USi2TcPd | Alexandria | PBE | optimized geometry; D(E_F) = 12.7 states/eV/cell; final energy = -8.067 eV per atom; SG = I-4m2 (119)
1.0
4.1048 0.0000 0.0000
0.0000 4.1048 0.0000
0.0000 0.0000 10.0432
U Si Tc Pd
2 4 2 2
Cartesian
0.0000 0.0000 0.0000
2.0524 2.0524 5.0216
0.0000 0.0000 3.8299
0.0000 0.0000 6.2134
2.0524 2.0524 1.1917
2.0524 2.0524 8.8515
0.0000 2.0524 2.5108
2.0524 0.0000 7.5324
0.0000 2.0524 7.5324
2.0524 0.0000 2.5108

No. 10
VSiTcPd | Alexandria | PBE | optimized geometry; D(E_F) = 15.5 states/eV/cell; final energy = -7.829 eV per atom; SG = F-43m (216)
1.0
6.0487 0.0000 0.0000
0.0000 6.0487 0.0000
0.0000 0.0000 6.0487
V Si Tc Pd
4 4 4 4
Cartesian
0.0000 0.0000 0.0000
0.0000 3.0244 3.0244
3.0244 0.0000 3.0244
3.0244 3.0244 0.0000
0.0000 0.0000 3.0244
0.0000 3.0244 0.0000
3.0244 0.0000 0.0000
3.0244 3.0244 3.0244
1.5122 1.5122 4.5366
1.5122 4.5366 1.5122
4.5366 1.5122 1.5122
4.5366 4.5366 4.5366
1.5122 1.5122 1.5122
1.5122 4.5366 4.5366
4.5366 1.5122 4.5366
4.5366 4.5366 1.5122

No. 11
ZnSiTcPd | Alexandria | PBE | optimized geometry; D(E_F) = 8.7 states/eV/cell; final energy = -5.870 eV per atom; SG = F-43m (216)
1.0
6.0256 0.0000 0.0000
0.0000 6.0256 0.0000
0.0000 0.0000 6.0256
Zn Si Tc Pd
4 4 4 4
Cartesian
0.0000 0.0000 0.0000
0.0000 3.0128 3.0128
3.0128 0.0000 3.0128
3.0128 3.0128 0.0000
0.0000 0.0000 3.0128
0.0000 3.0128 0.0000
3.0128 0.0000 0.0000
3.0128 3.0128 3.0128
1.5064 1.5064 1.5064
1.5064 4.5192 4.5192
4.5192 1.5064 4.5192
4.5192 4.5192 1.5064
1.5064 1.5064 4.5192
1.5064 4.5192 1.5064
4.5192 1.5064 1.5064
4.5192 4.5192 4.5192

No. 12
SiTePd2 | Alexandria | PBE | optimized geometry; D(E_F) = 5.4 states/eV/cell; final energy = -5.071 eV per atom; SG = R-3m (166)
1.0
3.9324 0.0000 0.0000
-1.9662 3.4056 0.0000
0.0000 0.0000 16.9031
Si Te Pd
3 3 6
Cartesian
0.0000 0.0000 0.0000
0.0000 2.2704 11.2687
1.9662 1.1352 5.6343
0.0000 0.0000 8.4515
0.0000 2.2704 2.8172
1.9662 1.1352 14.0859
0.0000 0.0000 4.7006
0.0000 0.0000 12.2024
0.0000 2.2704 6.5681
0.0000 2.2704 15.9693
1.9662 1.1352 0.9337
1.9662 1.1352 10.3350

No. 13
SiTe2Pd8 | Alexandria | PBE | optimized geometry; D(E_F) = 4.4 states/eV/cell; final energy = -5.208 eV per atom; SG = C2/m (12)
1.0
7.1616 -2.1483 0.0000
7.1616 2.1483 0.0000
-2.6501 0.0000 6.0188
Si Te Pd
1 2 8
Cartesian
0.0000 0.0000 0.0000
3.8232 0.0000 2.0004
7.8500 0.0000 4.0184
0.0870 0.0000 2.5039
-0.1639 0.0000 5.6941
2.5331 0.0000 4.3490
6.2977 0.0000 1.0447
5.3755 0.0000 4.9741
9.1401 0.0000 1.6698
11.8370 0.0000 0.3247
11.5862 0.0000 3.5149

No. 14
SiTePd2 | Alexandria | PBE | optimized geometry; D(E_F) = 7.2 states/eV/cell; final energy = -4.820 eV per atom; SG = Fm-3m (225)
1.0
6.5763 0.0000 0.0000
0.0000 6.5763 0.0000
0.0000 0.0000 6.5763
Si Te Pd
4 4 8
Cartesian
0.0000 0.0000 0.0000
0.0000 3.2881 3.2881
3.2881 0.0000 3.2881
3.2881 3.2881 0.0000
0.0000 0.0000 3.2881
0.0000 3.2881 0.0000
3.2881 0.0000 0.0000
3.2881 3.2881 3.2881
1.6441 1.6441 1.6441
1.6441 1.6441 4.9322
1.6441 4.9322 1.6441
1.6441 4.9322 4.9322
4.9322 1.6441 1.6441
4.9322 1.6441 4.9322
4.9322 4.9322 1.6441
4.9322 4.9322 4.9322

No. 15
Si2TePd8 | Alexandria | PBE | optimized geometry; D(E_F) = 5.3 states/eV/cell; final energy = -5.558 eV per atom; SG = C2/m (12)
1.0
7.4984 -1.9817 0.0000
7.4984 1.9817 0.0000
-2.1839 0.0000 5.8596
Si Te Pd
2 1 8
Cartesian
2.4187 0.0000 1.1071
10.3942 0.0000 4.7525
6.4065 0.0000 2.9298
0.0379 0.0000 1.4475
1.2335 0.0000 4.7740
3.6509 0.0000 3.1828
6.0048 0.0000 0.1601
6.8081 0.0000 5.6995
9.1620 0.0000 2.6768
11.5795 0.0000 1.0856
12.7751 0.0000 4.4121

No. 16
SiTePd2 | Alexandria | PBE | optimized geometry; D(E_F) = 1.6 states/eV/cell; final energy = -4.956 eV per atom; SG = I-42d (122)
1.0
4.6585 0.0000 0.0000
0.0000 4.6585 0.0000
0.0000 0.0000 15.2961
Si Te Pd
4 4 8
Cartesian
0.0000 0.0000 0.0000
0.0000 2.3293 3.8240
2.3293 0.0000 11.4721
2.3293 2.3293 7.6481
0.0000 0.0000 7.6481
0.0000 2.3293 11.4721
2.3293 0.0000 3.8240
2.3293 2.3293 0.0000
0.8544 1.1646 1.9120
1.1646 3.1837 5.7360
1.1646 3.8041 13.3841
1.4749 1.1646 9.5601
3.1837 3.4939 9.5601
3.4939 0.8544 13.3841
3.4939 1.4749 5.7360
3.8041 3.4939 1.9120

No. 17
Si2Te6Pd | Alexandria | PBE | optimized geometry; D(E_F) = 8.3 states/eV/cell; final energy = -3.896 eV per atom; SG = C2/c (15)
1.0
6.4403 -6.0178 0.0000
6.4403 6.0178 0.0000
-1.1623 0.0000 6.8488
Si Te Pd
4 12 2
Cartesian
2.0511 0.9345 2.2096
1.4700 -0.9345 5.6339
10.2483 0.9345 1.2148
9.6671 -0.9345 4.6392
0.7238 1.2152 4.3853
3.7211 3.0225 6.0546
1.3050 -1.2152 0.9609
4.6231 0.9337 2.5678
7.4159 3.0225 4.2185
4.0420 -0.9337 5.9922
7.6762 0.9337 0.8566
4.3023 -3.0225 2.6302
7.0951 -0.9337 4.2809
10.4133 1.2152 5.8879
7.9971 -3.0225 0.7941
10.9944 -1.2152 2.4635
5.5685 1.2605 5.1366
6.1497 -1.2605 1.7122

No. 18
Si3TePd | Alexandria | PBE | optimized geometry; D(E_F) = 3.0 states/eV/cell; final energy = -4.477 eV per atom; SG = Pm-3m (221)
1.0
4.7616 0.0000 0.0000
0.0000 4.7616 0.0000
0.0000 0.0000 4.7616
Si Te Pd
3 1 1
Cartesian
0.0000 0.0000 2.3808
0.0000 2.3808 0.0000
2.3808 0.0000 0.0000
2.3808 2.3808 2.3808
0.0000 0.0000 0.0000

No. 19
Tl2SiTe4Pd | Alexandria | PBE | optimized geometry; D(E_F) = 3.4 states/eV/cell; final energy = -3.627 eV per atom; SG = Fddd (70)
1.0
0.0000 5.9484 11.8497
3.7665 0.0000 11.8497
3.7665 5.9484 0.0000
Tl Si Te Pd
4 2 8 2
Cartesian
2.8249 4.4613 1.7573
4.7082 7.4355 7.6822
2.8249 4.4613 16.0173
4.7082 7.4355 21.9422
2.8249 4.4613 8.8873
4.7082 7.4355 14.8122
2.8938 2.3844 4.5262
4.6393 5.3586 10.4511
2.7560 6.5383 4.5262
2.7560 2.3844 13.2484
4.7770 9.5125 10.4511
4.7770 5.3586 19.1732
2.8938 6.5383 13.2484
4.6393 9.5125 19.1732
0.9416 1.4871 2.9624
6.5914 10.4097 20.7370

No. 20
YSi2TePd | Alexandria | PBE | optimized geometry; D(E_F) = 3.1 states/eV/cell; final energy = -4.186 eV per atom; SG = P4/mmm (123)
1.0
5.0652 0.0000 0.0000
0.0000 5.0652 0.0000
0.0000 0.0000 5.6265
Y Si Te Pd
1 2 1 1
Cartesian
0.0000 0.0000 0.0000
0.0000 2.5326 2.8133
2.5326 0.0000 2.8133
0.0000 0.0000 2.8133
2.5326 2.5326 0.0000